No. 1
VASP calculation (GGA-PBEsol) on a relaxed structure of Sb3ClO4.

```
Sb3ClO4
1.0
9.347 0.000 0.000
0.000 5.400 0.000
-0.355 0.000 5.579
Sb Cl O
6 2 8
direct
0.000 0.188 0.250
0.000 0.812 0.750
0.297 0.298 0.702
0.297 0.702 0.202
0.703 0.298 0.798
0.703 0.702 0.298
0.500 0.279 0.250
0.500 0.721 0.750
0.122 0.081 0.596
0.122 0.919 0.096
0.201 0.465 0.967
0.201 0.535 0.467
0.799 0.465 0.533
0.799 0.535 0.033
0.878 0.081 0.904
0.878 0.919 0.404
```

Results
**E**: -5.871 eV per atom
**Formation energy (no corrections)**: -1.29 eV/atom
**V**: 281.6 Å³/cell
**Mass density**: 5.481 g cm⁻³

***

No. 2
VASP calculation (GGA-PBEsol) on a relaxed structure of MnAl8.

```
MnAl8
1.0
-4.228 4.228 1.916
4.228 -4.228 1.916
4.228 4.228 -1.916
Mn Al
1 8
direct
0.000 0.000 0.000
0.000 0.324 0.324
0.000 0.676 0.676
0.324 0.000 0.324
0.342 0.342 0.683
0.342 0.658 0.000
0.658 0.342 0.000
0.658 0.658 0.317
0.676 0.000 0.676
```

Results
**E**: -4.745 eV per atom
**V**: 137.0 Å³/cell
**ΔE_f**: -23.3 meV/atom
**Mass density**: 3.282 g cm⁻³

***

No. 3
VASP calculation (GGA-PBEsol) on a relaxed structure of KIrSeN2.

```
KIrSeN2
1.0
4.082 0.000 0.000
0.000 4.082 0.000
0.000 0.000 5.932
K Ir Se N
1 1 1 2
direct
0.000 0.000 0.000
0.500 0.500 0.500
0.000 0.000 0.500
0.000 0.500 0.000
0.500 0.000 0.000
```

Results
**E**: -3.249 eV per atom
**Formation energy (no corrections)**: 3.12 eV/atom
**V**: 98.9 Å³/cell
**Mass density**: 5.683 g cm⁻³

***

No. 4
VASP calculation (GGA-PBEsol) on a relaxed structure of Be2TcMo2.

```
Be2TcMo2
1.0
6.127 0.000 0.000
0.000 6.127 0.000
0.000 0.000 3.150
Be Tc Mo
4 2 4
direct
0.120 0.380 0.000
0.380 0.880 0.000
0.620 0.120 0.000
0.880 0.620 0.000
0.000 0.000 0.000
0.500 0.500 0.000
0.175 0.675 0.500
0.325 0.175 0.500
0.675 0.825 0.500
0.825 0.325 0.500
```

Results
**E**: -8.731 eV per atom
**V**: 118.2 Å³/cell
**ΔE_f**: -170.2 meV/atom
**Mass density**: 8.648 g cm⁻³